Compound: Cs2InIrBr6
Source: Alexandria via LeMat-Bulk
Functional: PBE
Structure: relaxed

raw formation energy = -971 meV per atom
electronic total energy = -0.243 Ry/atom
DOS(E_F) = 0.0 states/eV/f.u.
total magnetic moment = 0.00 μB per formula unit

Unit cell a=7.936 b=7.936 c=7.933 alpha=59.99 beta=59.99 gamma=90.00
Element x y z (fractional)
Br 0.774 0.226 0.000
Ir 0.000 0.000 0.000
Br 0.226 0.226 0.000
Cs 0.750 0.250 0.500
Br 0.226 0.774 0.000
In 0.500 0.500 0.000
Br 0.774 0.774 0.000
Cs 0.250 0.750 0.500
Br 0.226 0.226 0.548
Br 0.774 0.774 0.452